CsCeAgSe4 after structural relaxation. Source: Alexandria, functional PBE.

Computed properties:
* total DFT energy (no corrections): -4.358 eV/atom
* DOS at the Fermi energy: 0.1458 states/eV per atom
* symmetry: No. 11
* magnetization: 0.00 μB/f.u.

a = 7.659 Å, b = 5.677 Å, c = 10.521 Å
α = 90.00°, β = 107.97°, γ = 90.00°
Positions (direct):
Cs: 0.243 0.250 0.040
Cs: 0.757 0.750 0.960
Ce: 0.285 0.250 0.553
Ce: 0.715 0.750 0.447
Ag: 0.261 0.750 0.310
Ag: 0.739 0.250 0.690
Se: 0.018 0.535 0.684
Se: 0.018 0.965 0.684
Se: 0.421 0.750 0.573
Se: 0.494 0.750 0.182
Se: 0.506 0.250 0.818
Se: 0.579 0.250 0.427
Se: 0.982 0.035 0.316
Se: 0.982 0.465 0.316